# 1
Entry from Alexandria: a geometry-optimized Er3Nb5Pd12 structure (PBE-GGA).

abc: 13.2656 13.2656 13.2656
angles: 109.47 109.47 109.47
Atoms (fractional coordinates):
Er 0.1250 0.2500 0.3750
Er 0.1250 0.3750 0.7500
Er 0.2500 0.3750 0.1250
Er 0.2500 0.8750 0.6250
Er 0.3750 0.1250 0.2500
Er 0.3750 0.7500 0.1250
Er 0.6250 0.2500 0.8750
Er 0.6250 0.8750 0.7500
Er 0.7500 0.1250 0.3750
Er 0.7500 0.6250 0.8750
Er 0.8750 0.6250 0.2500
Er 0.8750 0.7500 0.6250
Nb 0.0000 0.0000 0.0000
Nb 0.0000 0.0000 0.5000
Nb 0.0000 0.5000 0.0000
Nb 0.0000 0.5000 0.5000
Nb 0.1250 0.7500 0.8750
Nb 0.1250 0.8750 0.2500
Nb 0.2500 0.1250 0.8750
Nb 0.2500 0.6250 0.3750
Nb 0.3750 0.2500 0.6250
Nb 0.3750 0.6250 0.7500
Nb 0.5000 0.0000 0.0000
Nb 0.5000 0.0000 0.5000
Nb 0.5000 0.5000 0.0000
Nb 0.5000 0.5000 0.5000
Nb 0.6250 0.3750 0.2500
Nb 0.6250 0.7500 0.3750
Nb 0.7500 0.3750 0.6250
Nb 0.7500 0.8750 0.1250
Nb 0.8750 0.1250 0.7500
Nb 0.8750 0.2500 0.1250
Pd 0.0596 0.2267 0.1366
Pd 0.0596 0.3329 0.9230
Pd 0.0770 0.6366 0.4099
Pd 0.0770 0.9404 0.6671
Pd 0.0901 0.7267 0.6671
Pd 0.0901 0.8634 0.4230
Pd 0.1366 0.0596 0.2267
Pd 0.1366 0.5770 0.9099
Pd 0.1671 0.2267 0.5901
Pd 0.1671 0.4404 0.5770
Pd 0.2267 0.1366 0.0596
Pd 0.2267 0.5901 0.1671
Pd 0.2733 0.3329 0.9099
Pd 0.2733 0.4404 0.3634
Pd 0.3329 0.9099 0.2733
Pd 0.3329 0.9230 0.0596
Pd 0.3634 0.2733 0.4404
Pd 0.3634 0.5901 0.9230
Pd 0.4099 0.0770 0.6366
Pd 0.4099 0.8329 0.7733
Pd 0.4230 0.0901 0.8634
Pd 0.4230 0.8329 0.5596
Pd 0.4404 0.3634 0.2733
Pd 0.4404 0.5770 0.1671
Pd 0.5596 0.4230 0.8329
Pd 0.5596 0.6366 0.7267
Pd 0.5770 0.1671 0.4404
Pd 0.5770 0.9099 0.1366
Pd 0.5901 0.1671 0.2267
Pd 0.5901 0.9230 0.3634
Pd 0.6366 0.4099 0.0770
Pd 0.6366 0.7267 0.5596
Pd 0.6671 0.0770 0.9404
Pd 0.6671 0.0901 0.7267
Pd 0.7267 0.5596 0.6366
Pd 0.7267 0.6671 0.0901
Pd 0.7733 0.4099 0.8329
Pd 0.7733 0.8634 0.9404
Pd 0.8329 0.5596 0.4230
Pd 0.8329 0.7733 0.4099
Pd 0.8634 0.4230 0.0901
Pd 0.8634 0.9404 0.7733
Pd 0.9099 0.1366 0.5770
Pd 0.9099 0.2733 0.3329
Pd 0.9230 0.0596 0.3329
Pd 0.9230 0.3634 0.5901
Pd 0.9404 0.6671 0.0770
Pd 0.9404 0.7733 0.8634

Computed properties:
E, Ry/atom: -0.447
Crystal system: cubic
Formation energy, eV per atom: 0.23

# 2
Entry from Alexandria: a geometry-optimized ErNbPdRu structure (PBE-GGA).

abc: 6.6116 6.6116 6.6116
angles: 90.00 90.00 90.00
Atoms (fractional coordinates):
Er 0.0000 0.0000 0.0000
Er 0.0000 0.5000 0.5000
Er 0.5000 0.0000 0.5000
Er 0.5000 0.5000 0.0000
Nb 0.0000 0.0000 0.5000
Nb 0.0000 0.5000 0.0000
Nb 0.5000 0.0000 0.0000
Nb 0.5000 0.5000 0.5000
Pd 0.2500 0.2500 0.2500
Pd 0.2500 0.7500 0.7500
Pd 0.7500 0.2500 0.7500
Pd 0.7500 0.7500 0.2500
Ru 0.2500 0.2500 0.7500
Ru 0.2500 0.7500 0.2500
Ru 0.7500 0.2500 0.2500
Ru 0.7500 0.7500 0.7500

Computed properties:
E, Ry/atom: -0.560
Crystal system: cubic
Formation energy, eV per atom: -0.34

# 3
Entry from Alexandria: a geometry-optimized PmErNb structure (PBE-GGA).

abc: 12.7285 4.9684 5.2422
angles: 90.00 90.91 90.00
Atoms (fractional coordinates):
Pm 0.1046 0.0000 0.2214
Pm 0.3954 0.5000 0.7786
Pm 0.6046 0.5000 0.2214
Pm 0.8954 0.0000 0.7786
Er 0.1078 0.5000 0.7742
Er 0.3922 0.0000 0.2258
Er 0.6078 0.0000 0.7742
Er 0.8922 0.5000 0.2258
Nb 0.2502 0.0000 0.6668
Nb 0.2498 0.5000 0.3332
Nb 0.7498 0.0000 0.3332
Nb 0.7502 0.5000 0.6668

Computed properties:
E, Ry/atom: -0.456
Crystal system: monoclinic
Formation energy, eV per atom: 0.25

# 4
Entry from Alexandria: a geometry-optimized Pm2ErNb structure (PBE-GGA).

abc: 3.3413 3.3413 35.0373
angles: 90.00 90.00 120.00
Atoms (fractional coordinates):
Pm 0.0000 0.0000 0.0831
Pm 0.0000 0.0000 0.9169
Pm 0.3333 0.6667 0.5836
Pm 0.3333 0.6667 0.7497
Pm 0.6667 0.3333 0.2503
Pm 0.6667 0.3333 0.4164
Er 0.0000 0.0000 0.5000
Er 0.3333 0.6667 0.1667
Er 0.6667 0.3333 0.8333
Nb 0.0000 0.0000 0.0000
Nb 0.3333 0.6667 0.6667
Nb 0.6667 0.3333 0.3333

Computed properties:
E, Ry/atom: -0.403
Crystal system: trigonal
Formation energy, eV per atom: 0.56

# 5
Entry from Alexandria: a geometry-optimized Er3NbPt12 structure (PBE-GGA).

abc: 4.0716 4.0716 16.3385
angles: 90.00 90.00 90.00
Atoms (fractional coordinates):
Er 0.0000 0.0000 0.0000
Er 0.0000 0.0000 0.2502
Er 0.0000 0.0000 0.7498
Nb 0.0000 0.0000 0.5000
Pt 0.0000 0.5000 0.1266
Pt 0.0000 0.5000 0.3832
Pt 0.0000 0.5000 0.6168
Pt 0.0000 0.5000 0.8734
Pt 0.5000 0.0000 0.1266
Pt 0.5000 0.0000 0.3832
Pt 0.5000 0.0000 0.6168
Pt 0.5000 0.0000 0.8734
Pt 0.5000 0.5000 0.0000
Pt 0.5000 0.5000 0.2552
Pt 0.5000 0.5000 0.5000
Pt 0.5000 0.5000 0.7448

Computed properties:
E, Ry/atom: -0.514
Crystal system: tetragonal
Formation energy, eV per atom: -0.98

# 6
Entry from Alexandria: a geometry-optimized Er2NbPt9 structure (PBE-GGA).

abc: 4.0709 4.0709 12.1947
angles: 90.00 90.00 90.00
Atoms (fractional coordinates):
Er 0.0000 0.0000 0.1659
Er 0.0000 0.0000 0.8341
Nb 0.0000 0.0000 0.5000
Pt 0.0000 0.5000 0.0000
Pt 0.0000 0.5000 0.3436
Pt 0.0000 0.5000 0.6564
Pt 0.5000 0.0000 0.0000
Pt 0.5000 0.0000 0.3436
Pt 0.5000 0.0000 0.6564
Pt 0.5000 0.5000 0.1717
Pt 0.5000 0.5000 0.5000
Pt 0.5000 0.5000 0.8283

Computed properties:
E, Ry/atom: -0.521
Crystal system: tetragonal
Formation energy, eV per atom: -0.95

# 7
Entry from Alexandria: a geometry-optimized ErNbPt structure (PBE-GGA).

abc: 3.4691 5.2808 7.4226
angles: 79.91 76.52 70.96
Atoms (fractional coordinates):
Er 0.0696 0.1925 0.1666
Er 0.9304 0.8075 0.8334
Nb 0.3459 0.2651 0.5413
Nb 0.6541 0.7349 0.4587
Pt 0.3460 0.6373 0.1724
Pt 0.6540 0.3627 0.8276

Computed properties:
E, Ry/atom: -0.551
Crystal system: triclinic
Formation energy, eV per atom: -0.61

# 8
Entry from Alexandria: a geometry-optimized ErNbPt2 structure (PBE-GGA).

abc: 3.1665 3.1665 7.4466
angles: 90.00 90.00 90.00
Atoms (fractional coordinates):
Er 0.0000 0.0000 0.0000
Nb 0.0000 0.0000 0.5000
Pt 0.5000 0.5000 0.2705
Pt 0.5000 0.5000 0.7295

Computed properties:
E, Ry/atom: -0.546
Crystal system: tetragonal
Formation energy, eV per atom: -0.75

# 9
Entry from Alexandria: a geometry-optimized ErNbPt6 structure (PBE-GGA).

abc: 4.0491 4.0491 8.1248
angles: 90.00 90.00 90.00
Atoms (fractional coordinates):
Er 0.0000 0.0000 0.0000
Nb 0.0000 0.0000 0.5000
Pt 0.0000 0.5000 0.2627
Pt 0.0000 0.5000 0.7373
Pt 0.5000 0.0000 0.2627
Pt 0.5000 0.0000 0.7373
Pt 0.5000 0.5000 0.0000
Pt 0.5000 0.5000 0.5000

Computed properties:
E, Ry/atom: -0.531
Crystal system: tetragonal
Formation energy, eV per atom: -0.87

# 10
Entry from Alexandria: a geometry-optimized Er2NbSi4Pt3 structure (PBE-GGA).

abc: 4.1461 4.1461 10.3285
angles: 90.00 90.00 90.00
Atoms (fractional coordinates):
Er 0.0000 0.5000 0.2404
Er 0.5000 0.0000 0.7596
Nb 0.0000 0.0000 0.5000
Si 0.0000 0.0000 0.0000
Si 0.0000 0.5000 0.6457
Si 0.5000 0.0000 0.3543
Si 0.5000 0.5000 0.0000
Pt 0.0000 0.5000 0.8777
Pt 0.5000 0.0000 0.1223
Pt 0.5000 0.5000 0.5000

Computed properties:
E, Ry/atom: -0.504
Crystal system: tetragonal
ΔE_f (raw), eV/atom: -0.952

# 11
Entry from Alexandria: a geometry-optimized Rb3Er3NbS8 structure (PBE-GGA).

abc: 9.0514 9.0514 9.0514
angles: 51.28 51.28 51.28
Atoms (fractional coordinates):
Rb 0.0000 0.5000 0.5000
Rb 0.5000 0.0000 0.5000
Rb 0.5000 0.5000 0.0000
Er 0.0000 0.0000 0.5000
Er 0.0000 0.5000 0.0000
Er 0.5000 0.0000 0.0000
Nb 0.5000 0.5000 0.5000
S 0.2303 0.2303 0.2303
S 0.2472 0.7175 0.7175
S 0.2825 0.2825 0.7528
S 0.2825 0.7528 0.2825
S 0.7175 0.2472 0.7175
S 0.7175 0.7175 0.2472
S 0.7528 0.2825 0.2825
S 0.7697 0.7697 0.7697

Computed properties:
E, Ry/atom: -0.413
Crystal system: trigonal
ΔE_f (raw), eV/atom: -1.644

# 12
Entry from Alexandria: a geometry-optimized Er2NbRe3 structure (PBE-GGA).

abc: 5.5153 5.5153 5.5153
angles: 58.91 58.91 58.91
Atoms (fractional coordinates):
Er 0.1223 0.1223 0.1223
Er 0.8777 0.8777 0.8777
Nb 0.5000 0.5000 0.5000
Re 0.0000 0.5000 0.5000
Re 0.5000 0.0000 0.5000
Re 0.5000 0.5000 0.0000

Computed properties:
E, Ry/atom: -0.707
Crystal system: trigonal
Formation energy, eV per atom: -0.20